# PBE Tl2TeP, relaxed
data_Tl2TeP
_chemical_formula_sum 'Tl2 Te1 P1'
_cell_length_a 6.370
_cell_length_b 6.370
_cell_length_c 6.370
_cell_angle_alpha 139.04
_cell_angle_beta 139.04
_cell_angle_gamma 59.31
_space_group_name_H-M_alt 'P 1'
_space_group_IT_number 1
loop_
_space_group_symop_operation_xyz
'x,y,z'
loop_
_atom_site_label
_atom_site_fract_x
_atom_site_fract_y
_atom_site_fract_z
Tl1 0.250 0.750 0.500
Tl2 0.750 0.250 0.500
Te1 0.000 0.000 0.000
P1 0.500 0.500 0.000
# Volume   110.0 Å³ per cell
# Calculated density   8.6 g cm⁻³
# Formation energy without anion corrections   0.253 eV per atom
# Space-group type   I4/mmm, No. 139